Cr2MoPF | GGA+U | relaxed

It has space group P4/mmm (No. 123), with a = 4.0624 Å, b = 4.0624 Å, c = 5.6607 Å, α = 90.00°, β = 90.00° and γ = 90.00°. Symmetry generates all atoms from Cr at (0.0000, 0.5000, 0.0000), Mo at (0.0000, 0.0000, 0.5000), P at (0.5000, 0.5000, 0.5000) and F at (0.5000, 0.5000, 0.0000).

For the total energy, the calculation gives -5.61 eV per atom. The total moment is 2.400 μB per atom. Its calculated volume is 18.68 Å³/atom.